No. 1
{"formula": "Ti3TlGe", "functional": "PBE", "state": "relaxed", "polymorph_energy_ev_per_atom": 0.956, "m_tot_mub_per_cell": 2.96, "lattice_angstrom": [[5.0597, 0.0000, 0.0000], [0.0000, 5.0597, 0.0000], [0.0000, 0.0000, 5.0597]], "species": ["Tl", "Ge", "Ti", "Ti", "Ti"], "frac_coords": [[0.0000, 0.0000, 0.0000], [0.5000, 0.5000, 0.5000], [0.0000, 0.5000, 0.0000], [0.0000, 0.0000, 0.5000], [0.5000, 0.0000, 0.0000]]}



No. 2
{"formula": "TiTlGe", "functional": "PBE", "state": "relaxed", "polymorph_energy_ev_per_atom": 0.000, "m_tot_mub_per_cell": 0.00, "lattice_angstrom": [[3.5182, 0.0000, -0.0021], [0.0000, 3.6502, 0.0000], [-1.6111, 0.0000, 10.3899]], "species": ["Tl", "Tl", "Ge", "Ge", "Ti", "Ti"], "frac_coords": [[0.6757, 0.2500, 0.3837], [0.3243, 0.7500, 0.6163], [0.6901, 0.2500, 0.8445], [0.3099, 0.7500, 0.1555], [0.7857, 0.2500, 0.0953], [0.2143, 0.7500, 0.9047]]}



No. 3
{"formula": "Ti2TlVGe", "functional": "PBE", "state": "relaxed", "m_tot_mub_per_cell": 0.00, "lattice_angstrom": [[4.6971, 0.0000, 0.0000], [0.0000, 5.0357, 0.0000], [0.0000, 0.0000, 4.6971]], "species": ["Tl", "Ti", "Ti", "Ge", "V"], "frac_coords": [[0.0000, 0.5000, 0.0000], [0.0000, 0.0000, 0.5000], [0.5000, 0.0000, 0.0000], [0.0000, 0.0000, 0.0000], [0.5000, 0.5000, 0.5000]]}



No. 4
{"formula": "Y2TiTlGe", "functional": "PBE", "state": "relaxed", "m_tot_mub_per_cell": 3.37, "lattice_angstrom": [[5.7202, 0.0000, 0.0000], [0.0000, 5.1422, 0.0000], [0.0000, 0.0000, 5.7202]], "species": ["Y", "Y", "Tl", "Ge", "Ti"], "frac_coords": [[0.0000, 0.0000, 0.5000], [0.5000, 0.0000, 0.0000], [0.0000, 0.0000, 0.0000], [0.0000, 0.5000, 0.0000], [0.5000, 0.5000, 0.5000]]}



no.,calculated volume (A^3/atom),energy of formation (meV/atom)
1,25.906,1205
2,22.236,-211
3,22.221,1040
4,33.651,885